No. 1
Below is Mg2TePb4WO12 at its PBEsol-relaxed geometry, with properties calculated at the SCAN level.

Electronic total energy ... -0.97612 Ha/atom

a = 5.6719 Å, b = 7.9622 Å, c = 11.3567 Å
α = 90.00°, β = 90.00°, γ = 90.00°
Last column: nearest neighbours and their distance in Å.
Fractional coordinates of all 40 atoms:
Mg: 0.4882 0.0000 0.6206  6 O 2.03-2.21
Mg: 0.9976 0.5000 0.8773  6 O 2.06-2.14
Mg: 0.5118 0.0000 0.1206  6 O 2.03-2.21
Mg: 0.0024 0.5000 0.3773  6 O 2.06-2.14
O: 0.7695 0.0000 0.5027  1 Te 1.92, 1 Mg 2.08
O: 0.7653 0.5000 0.7382  1 W 2.05, 1 Mg 2.06
O: 0.2729 0.0000 0.7676  1 Te 1.98, 1 Mg 2.07
O: 0.2128 0.0000 0.2449  1 Te 1.94
O: 0.2564 0.0000 0.4844  1 Te 1.90, 1 Mg 2.03
O: 0.4830 0.2580 0.1327  1 W 1.94, 1 Mg 2.07
O: 0.7462 0.5000 0.0095  1 W 1.85
O: 0.7189 0.5000 0.2529  1 W 1.91, 1 Mg 2.14
O: 0.2644 0.5000 0.0032  1 W 1.93, 1 Mg 2.08
O: 0.5170 0.7420 0.6327  1 W 1.94, 1 Mg 2.07
O: 0.2305 0.0000 0.0027  1 Te 1.92, 1 Mg 2.08
O: 0.2347 0.5000 0.2382  1 W 2.05, 1 Mg 2.06
O: 0.2811 0.5000 0.7529  1 W 1.91, 1 Mg 2.14
O: 0.7356 0.5000 0.5032  1 W 1.93, 1 Mg 2.08
O: 0.4830 0.7420 0.1327  1 W 1.94, 1 Mg 2.07
O: 0.7271 0.0000 0.2676  1 Te 1.98, 1 Mg 2.07
O: 0.7436 0.0000 0.9844  1 Te 1.90, 1 Mg 2.03
O: 0.9799 0.7582 0.3683  1 Te 1.93, 1 Mg 2.06
O: 0.0201 0.7582 0.8683  1 Te 1.93, 1 Mg 2.06
O: 0.5170 0.2580 0.6327  1 W 1.94, 1 Mg 2.07
O: 0.0201 0.2418 0.8683  1 Te 1.93, 1 Mg 2.06
O: 0.2538 0.5000 0.5095  1 W 1.85
O: 0.9799 0.2418 0.3683  1 Te 1.93, 1 Mg 2.06
O: 0.7872 0.0000 0.7449  1 Te 1.94
Pb: 0.5238 0.2479 0.3641  6 O 2.54-2.84
Pb: 0.5238 0.7521 0.3641  6 O 2.54-2.84
Pb: 0.0423 0.7446 0.1351  6 O 2.50-2.76
Pb: 0.9577 0.2554 0.6351  6 O 2.50-2.76
Pb: 0.9577 0.7446 0.6351  6 O 2.50-2.76
Pb: 0.0423 0.2554 0.1351  6 O 2.50-2.76
Pb: 0.4762 0.7521 0.8641  6 O 2.54-2.84
Pb: 0.4762 0.2479 0.8641  6 O 2.54-2.84
W: 0.5089 0.5000 0.1210  6 O 1.85-2.05
W: 0.4911 0.5000 0.6210  6 O 1.85-2.05
Te: 0.0023 0.0000 0.8774  6 O 1.90-1.98
Te: 0.9977 0.0000 0.3774  6 O 1.90-1.98

No. 2
Below is MgMnCr2 at its PBEsol-relaxed geometry, with properties calculated at the SCAN level.

DFT formation energy ... 0.387 eV per atom

a = 2.8347 Å, b = 4.2532 Å, c = 4.8019 Å
α = 116.29°, β = 107.17°, γ = 90.00°
Last column: nearest neighbours and their distance in Å.
Fractional coordinates of all 4 atoms:
Mn: 0.2712 0.7712 0.5423  6 Cr 2.33-2.58, 2 Mg 2.60
Mg: 0.5026 0.5026 0.0053  8 Cr 2.56-2.81, 4 Mn 2.60-2.84, 2 Mg 2.83
Cr: 0.9982 0.9982 0.9964  2 Mn 2.33, 2 Cr 2.34, 4 Mg 2.56
Cr: 0.7280 0.2280 0.4559  2 Cr 2.34, 4 Mn 2.58

No. 3
Below is ZrTeAu4 at its PBEsol-relaxed geometry, with properties calculated at the SCAN level.

Electronic total energy ... -2.11545 Ha/atom

a = 5.4881 Å, b = 5.4881 Å, c = 5.4881 Å
α = 60.00°, β = 60.00°, γ = 60.00°
Last column: nearest neighbours and their distance in Å.
Fractional coordinates of all 6 atoms:
Au: 0.3747 0.3747 0.8760  6 Au 2.74-2.75
Au: 0.8760 0.3747 0.3747  6 Au 2.74-2.75
Au: 0.3747 0.8760 0.3747  6 Au 2.74-2.75
Au: 0.3747 0.3747 0.3747  6 Au 2.74-2.75
Te: 0.7500 0.7500 0.7500  12 Au 3.22, 4 Zr 3.36
Zr: 0.0000 0.0000 0.0000  12 Au 3.22, 4 Te 3.36

No. 4
Below is BaCa2Fe at its PBEsol-relaxed geometry, with properties calculated at the SCAN level.

DFT formation energy ... 0.547 eV per atom

a = 4.9342 Å, b = 4.9342 Å, c = 5.3155 Å
α = 90.00°, β = 90.00°, γ = 90.00°
Last column: nearest neighbours and their distance in Å.
Fractional coordinates of all 4 atoms:
Ca: 0.5000 0.0000 0.0000  4 Ca 3.49, 4 Ba 3.63, 4 Fe 3.63
Ca: 0.0000 0.5000 0.0000  4 Ca 3.49, 4 Ba 3.63, 4 Fe 3.63
Ba: 0.0000 0.0000 0.5000  4 Fe 3.49, 8 Ca 3.63
Fe: 0.5000 0.5000 0.5000  4 Ba 3.49, 8 Ca 3.63

No. 5
Below is FeOs2Br at its PBEsol-relaxed geometry, with properties calculated at the SCAN level.

E above lowest polymorph ... 567.3 meV/atom

a = 4.2961 Å, b = 4.2987 Å, c = 4.2961 Å
α = 60.02°, β = 90.00°, γ = 119.98°
Last column: nearest neighbours and their distance in Å.
Fractional coordinates of all 4 atoms:
Os: 0.2500 0.5000 0.2500  4 Br 2.63, 4 Fe 2.63
Os: 0.7500 0.5000 0.7500  4 Br 2.63, 4 Fe 2.63
Br: 0.5000 0.0000 0.5000  8 Os 2.63
Fe: 0.0000 0.0000 0.0000  8 Os 2.63

No. 6
Below is SrTl2Br at its PBEsol-relaxed geometry, with properties calculated at the SCAN level.

E above lowest polymorph ... 32.7 meV/atom

a = 3.8086 Å, b = 5.6873 Å, c = 6.1697 Å
α = 98.10°, β = 90.06°, γ = 109.55°
Last column: nearest neighbours and their distance in Å.
Fractional coordinates of all 4 atoms:
Br: 0.4849 0.9679 0.4227  3 Sr 3.07-3.09
Tl: 0.9978 0.9982 0.9503  3 Tl 3.08-3.21
Tl: 0.2609 0.5217 0.8028  3 Tl 3.08-3.21
Sr: 0.7564 0.5123 0.3243  3 Br 3.07-3.09

No. 7
Below is Se2NF at its PBEsol-relaxed geometry, with properties calculated at the SCAN level.

Electronic total energy ... -0.44724 Ha/atom

a = 4.1487 Å, b = 4.1487 Å, c = 4.1487 Å
α = 60.00°, β = 60.00°, γ = 60.00°
Last column: nearest neighbours and their distance in Å.
Fractional coordinates of all 4 atoms:
N: 0.0000 0.0000 0.0000  8 Se 2.54
F: 0.5000 0.5000 0.5000  8 Se 2.54
Se: 0.2500 0.2500 0.2500  4 F 2.54, 4 N 2.54
Se: 0.7500 0.7500 0.7500  4 F 2.54, 4 N 2.54

No. 8
Below is NaCuH2 at its PBEsol-relaxed geometry, with properties calculated at the SCAN level.

Electronic total energy ... -0.24679 Ha/atom

a = 4.8620 Å, b = 4.9175 Å, c = 4.8620 Å
α = 60.37°, β = 90.00°, γ = 119.63°
Last column: nearest neighbours and their distance in Å.
Fractional coordinates of all 8 atoms:
Cu: 0.7500 0.5000 0.7500  4 H 1.65
Cu: 0.0000 0.0000 0.0000  4 H 1.65
H: 0.7360 0.7500 0.3750  2 Cu 1.65
H: 0.0140 0.7500 0.8750  2 Cu 1.65
H: 0.8750 0.2500 0.7360  2 Cu 1.65
H: 0.3750 0.2500 0.0140  2 Cu 1.65
Na: 0.5000 0.0000 0.5000  4 H 2.31
Na: 0.2500 0.5000 0.2500  4 H 2.31

What did the third record say?
Below is ZrTeAu4 at its PBEsol-relaxed geometry, with properties calculated at the SCAN level.

Electronic total energy ... -2.11545 Ha/atom

a = 5.4881 Å, b = 5.4881 Å, c = 5.4881 Å
α = 60.00°, β = 60.00°, γ = 60.00°
Last column: nearest neighbours and their distance in Å.
Fractional coordinates of all 6 atoms:
Au: 0.3747 0.3747 0.8760  6 Au 2.74-2.75
Au: 0.8760 0.3747 0.3747  6 Au 2.74-2.75
Au: 0.3747 0.8760 0.3747  6 Au 2.74-2.75
Au: 0.3747 0.3747 0.3747  6 Au 2.74-2.75
Te: 0.7500 0.7500 0.7500  12 Au 3.22, 4 Zr 3.36
Zr: 0.0000 0.0000 0.0000  12 Au 3.22, 4 Te 3.36